First-principles (PBE) data for a relaxed structure of La6Tl5Hg, as listed in the Alexandria database.

DFT formation energy: -0.433 eV per atom
Space group: Immm (71)
ρ: 9.05 g/cm³

Cell lengths 5.633, 9.754, 9.754 Å; angles 120.21, 106.80, 106.80 degrees
Fractional coordinates of all 12 atoms:
Tl 0.500 0.166 0.834
Tl 0.000 0.335 0.665
Tl 0.500 0.500 0.500
Tl 0.000 0.665 0.335
Tl 0.500 0.834 0.166
Hg 0.000 0.000 0.000
La 0.248 0.082 0.414
La 0.752 0.586 0.918
La 0.746 0.246 0.246
La 0.254 0.754 0.754
La 0.248 0.414 0.082
La 0.752 0.918 0.586


First-principles (PBE) data for a relaxed structure of LaTl2Hg, as listed in the Alexandria database.

DFT formation energy: -0.222 eV per atom
Space group: P2/m (10)
ρ: 10.36 g/cm³

Cell lengths 5.348, 3.922, 5.750 Å; angles 83.77, 90.00, 90.00 degrees
Fractional coordinates of all 4 atoms:
Hg 0.500 0.250 0.250
La 0.500 0.750 0.750
Tl 0.000 0.044 0.014
Tl 0.000 0.456 0.486


First-principles (PBE) data for a relaxed structure of La2TlHg, as listed in the Alexandria database.

DFT formation energy: -0.458 eV per atom
Space group: Cmmm (65)
ρ: 9.18 g/cm³

Cell lengths 8.819, 5.595, 3.945 Å; angles 89.96, 63.49, 129.11 degrees
Last column: magnetic moment on the atom in μB.
Fractional coordinates of all 4 atoms:
Tl 0.000 0.500 0.500  0.01
Hg 0.500 0.500 0.000  0.02
La 0.000 0.000 0.000  0.17
La 0.500 0.000 0.500  0.17


First-principles (PBE) data for a relaxed structure of La3TlHg5, as listed in the Alexandria database.

DFT formation energy: -0.481 eV per atom
Space group: P6_3/mcm (193)
ρ: 10.65 g/cm³

Cell lengths 6.685, 9.354, 9.354 Å; angles 120.00, 90.00, 90.00 degrees
Fractional coordinates of all 18 atoms:
La 0.750 0.337 0.337
La 0.750 0.000 0.663
La 0.750 0.663 0.000
La 0.250 0.663 0.663
La 0.250 0.000 0.337
La 0.250 0.337 0.000
Tl 0.000 0.000 0.000
Tl 0.500 0.000 0.000
Hg 0.000 0.667 0.333
Hg 0.500 0.333 0.667
Hg 0.000 0.333 0.667
Hg 0.500 0.667 0.333
Hg 0.750 0.668 0.668
Hg 0.750 0.000 0.332
Hg 0.750 0.332 0.000
Hg 0.250 0.332 0.332
Hg 0.250 0.000 0.668
Hg 0.250 0.668 0.000


First-principles (PBE) data for a relaxed structure of LaTlHg2, as listed in the Alexandria database.

DFT formation energy: -0.184 eV per atom
Distance to the lowest polymorph of the same formula: 0.2247 eV/atom
Space group: I-42d (122)
ρ: 10.00 g/cm³

Cell lengths 4.772, 4.772, 11.369 Å; angles 77.88, 77.88, 90.00 degrees
Fractional coordinates of all 8 atoms:
Tl 0.000 0.000 0.000
Tl 0.750 0.250 0.500
Hg 0.656 0.125 0.250
Hg 0.094 0.625 0.250
Hg 0.375 0.344 0.750
Hg 0.875 0.906 0.750
La 0.500 0.500 0.000
La 0.250 0.750 0.500


First-principles (PBE) data for a relaxed structure of La5TlHg, as listed in the Alexandria database.

DFT formation energy: -0.126 eV per atom
Space group: C2/c (15)
ρ: 7.65 g/cm³

Cell lengths 6.608, 6.608, 12.531 Å; angles 80.35, 80.35, 62.77 degrees
Fractional coordinates of all 14 atoms:
La 0.907 0.617 0.152
La 0.243 0.459 0.562
La 0.617 0.907 0.652
La 0.934 0.066 0.250
La 0.541 0.757 0.938
La 0.459 0.243 0.062
La 0.066 0.934 0.750
La 0.383 0.093 0.348
La 0.757 0.541 0.438
La 0.093 0.383 0.848
Tl 0.418 0.582 0.250
Tl 0.582 0.418 0.750
Hg 0.000 0.000 0.000
Hg 0.000 0.000 0.500


First-principles (PBE) data for a relaxed structure of LaTlHg, as listed in the Alexandria database.

DFT formation energy: -0.415 eV per atom
Space group: Imm2 (44)
ρ: 10.38 g/cm³

Cell lengths 6.413, 6.414, 5.040 Å; angles 113.11, 113.11, 74.88 degrees
Fractional coordinates of all 6 atoms:
Tl 0.587 0.528 0.776
Tl 0.154 0.961 0.776
Hg 0.237 0.202 0.437
Hg 0.828 0.610 0.437
La 0.704 0.078 0.110
La 0.199 0.572 0.104


First-principles (PBE) data for a relaxed structure of La5TlHg2, as listed in the Alexandria database.

DFT formation energy: -0.309 eV per atom
Space group: I4mm (107)
ρ: 8.66 g/cm³

Cell lengths 6.869, 6.869, 6.869 Å; angles 108.43, 108.43, 111.57 degrees
Fractional coordinates of all 8 atoms:
La 0.278 0.278 0.500
La 0.278 0.778 0.000
La 0.778 0.278 0.000
La 0.778 0.778 0.500
La 0.277 0.277 0.000
Tl 0.778 0.778 0.000
Hg 0.278 0.778 0.500
Hg 0.778 0.278 0.500


Repeat the second record exactly.
First-principles (PBE) data for a relaxed structure of LaTl2Hg, as listed in the Alexandria database.

DFT formation energy: -0.222 eV per atom
Space group: P2/m (10)
ρ: 10.36 g/cm³

Cell lengths 5.348, 3.922, 5.750 Å; angles 83.77, 90.00, 90.00 degrees
Fractional coordinates of all 4 atoms:
Hg 0.500 0.250 0.250
La 0.500 0.750 0.750
Tl 0.000 0.044 0.014
Tl 0.000 0.456 0.486


Copy entry 7 word for word.
First-principles (PBE) data for a relaxed structure of LaTlHg, as listed in the Alexandria database.

DFT formation energy: -0.415 eV per atom
Space group: Imm2 (44)
ρ: 10.38 g/cm³

Cell lengths 6.413, 6.414, 5.040 Å; angles 113.11, 113.11, 74.88 degrees
Fractional coordinates of all 6 atoms:
Tl 0.587 0.528 0.776
Tl 0.154 0.961 0.776
Hg 0.237 0.202 0.437
Hg 0.828 0.610 0.437
La 0.704 0.078 0.110
La 0.199 0.572 0.104